Compound: Ba2Nd2Er
Source: OQMD via LeMat-Bulk
Functional: GGA-PBE
Structure: relaxed

V	230.2	Å³/cell
total energy	-15.4	eV per cell

Unit cell a=4.651 b=4.651 c=10.642 alpha=90.00 beta=90.00 gamma=90.00
Space group P4/mmm (No. 123)
Inequivalent atoms, fractional coordinates:
Ba1 0.000 0.000 0.193 [2 per cell]
Nd1 0.000 0.500 0.500 [2 per cell]
Er1 0.500 0.500 0.000 [1 per cell]

Compound: CdInCoOs
Source: OQMD via LeMat-Bulk
Functional: GGA-PBE
Structure: relaxed

V	260.6	Å³/cell
energy relative to the lowest polymorph listed for this composition	0.000	eV per atom

Unit cell a=6.387 b=6.387 c=6.387 alpha=90.00 beta=90.00 gamma=90.00
Space group F-43m (No. 216)
Inequivalent atoms, fractional coordinates:
Cd1 0.000 0.000 0.000 [4 per cell]
In1 0.000 0.000 0.500 [4 per cell]
Co1 0.250 0.250 0.750 [4 per cell]
Os1 0.250 0.250 0.250 [4 per cell]

Compound: PmAsPbO
Source: OQMD via LeMat-Bulk
Functional: GGA-PBE
Structure: relaxed

V	215.1	Å³/cell
energy relative to the lowest polymorph listed for this composition	0.110	eV per atom

Unit cell a=5.196 b=6.370 c=6.497 alpha=90.00 beta=90.00 gamma=90.00
Space group Pmc2_1 (No. 26)
Inequivalent atoms, fractional coordinates:
Pm1 0.000 0.161 0.000 [2 per cell]
As1 0.500 0.282 0.831 [2 per cell]
Pb1 0.500 0.257 0.392 [2 per cell]
O1 0.000 0.142 0.341 [2 per cell]

Compound: Y2ErLu4Ni2Te2
Source: OQMD via LeMat-Bulk
Functional: GGA-PBE
Structure: relaxed

V	559.8	Å³/cell
energy relative to the lowest polymorph listed for this composition	0.003	eV per atom

Unit cell a=3.822 b=15.381 c=9.523 alpha=90.00 beta=90.00 gamma=90.00
Space group Imm2 (No. 44)
Inequivalent atoms, fractional coordinates:
Y1 0.000 0.132 0.000 [4 per cell]
Er1 0.000 0.000 0.580 [2 per cell]
Lu1 0.000 0.314 0.201 [4 per cell]
Lu2 0.000 0.352 0.853 [4 per cell]
Ni1 0.000 0.234 0.510 [4 per cell]
Te1 0.000 0.000 0.248 [2 per cell]
Te2 0.000 0.500 0.342 [2 per cell]

Compound: Zn2GeTe4
Source: OQMD via LeMat-Bulk
Functional: GGA-PBE
Structure: relaxed

V	803.4	Å³/cell
total energy	-81.5	eV per cell

Unit cell a=8.283 b=8.283 c=11.710 alpha=90.00 beta=90.00 gamma=90.00
Space group P4_122 (No. 91)
Inequivalent atoms, fractional coordinates:
Zn1 0.000 0.251 0.000 [4 per cell]
Zn2 0.248 0.248 0.375 [4 per cell]
Ge1 0.250 0.500 0.750 [4 per cell]
Te1 0.014 0.246 0.757 [8 per cell]
Te2 0.245 0.487 0.996 [8 per cell]

Compound: Nb2As3W4C3
Source: OQMD via LeMat-Bulk
Functional: GGA-PBE
Structure: relaxed

V	669.8	Å³/cell
total energy	-459.6	eV per cell

Unit cell a=9.774 b=5.637 c=12.571 alpha=90.00 beta=104.75 gamma=90.00
Space group C2/c (No. 15)
Inequivalent atoms, fractional coordinates:
Nb1 0.048 0.082 0.399 [8 per cell]
As1 0.000 0.436 0.250 [4 per cell]
As2 0.177 0.093 0.750 [8 per cell]
W1 0.111 0.411 0.586 [8 per cell]
W2 0.225 0.420 0.914 [8 per cell]
C1 0.084 0.253 0.000 [8 per cell]
C2 0.250 0.250 0.500 [4 per cell]